<w>
VASP calculation (PBE) on Ti2PN after structural relaxation.

Cell: 6.225 6.225 6.225 Å, 29.14 29.14 29.14°
Positions (direct):
Ti 0.000 0.000 0.000
Ti 0.145 0.145 0.145
P 0.573 0.573 0.573
N 0.403 0.403 0.403

Values from the calculation:
- Calculated density: 4.62 g/cm³
- M_tot: 0.00 μB/atom

<x>
VASP calculation (PBE) on Ti2PN after structural relaxation.

Cell: 6.070 6.070 6.070 Å, 130.27 130.27 72.98°
Positions (direct):
Ti 0.055 0.625 0.930
Ti 0.375 0.305 0.430
Ti 0.695 0.125 0.070
Ti 0.875 0.945 0.570
P 0.250 0.750 0.500
P 0.500 0.500 0.000
N 0.000 0.000 0.000
N 0.750 0.250 0.500

Values from the calculation:
- Calculated density: 3.67 g/cm³
- M_tot: 0.00 μB/atom

Which of them is least stable? Easy: <x>.

<w>
VASP calculation (PBE) on Ti6P2N after structural relaxation.

Cell: 5.205 5.205 7.776 Å, 90.49 90.49 36.56°
Positions (direct):
Ti 0.056 0.056 0.244
Ti 0.361 0.361 0.052
Ti 0.366 0.366 0.453
Ti 0.634 0.634 0.547
Ti 0.639 0.639 0.948
Ti 0.944 0.944 0.756
P 0.248 0.248 0.752
P 0.752 0.752 0.248
N 0.000 0.000 0.500

Values from the calculation:
- Calculated density: 4.81 g/cm³
- M_tot: 0.00 μB/atom

<x>
VASP calculation (PBE) on Ti6P2N after structural relaxation.

Cell: 5.338 5.338 10.176 Å, 90.00 90.00 90.00°
Positions (direct):
Ti 0.191 0.191 0.145
Ti 0.191 0.191 0.855
Ti 0.220 0.220 0.500
Ti 0.280 0.720 0.000
Ti 0.309 0.691 0.355
Ti 0.309 0.691 0.645
Ti 0.691 0.309 0.355
Ti 0.691 0.309 0.645
Ti 0.720 0.280 0.000
Ti 0.780 0.780 0.500
Ti 0.809 0.809 0.145
Ti 0.809 0.809 0.855
P 0.000 0.000 0.331
P 0.000 0.000 0.669
P 0.500 0.500 0.169
P 0.500 0.500 0.831
N 0.000 0.000 0.000
N 0.500 0.500 0.500

Values from the calculation:
- Calculated density: 4.16 g/cm³
- M_tot: 0.00 μB/atom

Which of them is least stable? Easy: <x>.

<w>
VASP calculation (PBE) on Tl2PN2 after structural relaxation.

Cell: 5.984 5.984 5.984 Å, 139.55 139.55 58.54°
Positions (direct):
Tl 0.150 0.150 0.000
Tl 0.850 0.850 0.000
P 0.500 0.500 0.000
N 0.250 0.750 0.500
N 0.750 0.250 0.500

Values from the calculation:
- Calculated density: 8.69 g/cm³
- M_tot: 0.20 μB/atom

<x>
VASP calculation (PBE) on Tl2PN2 after structural relaxation.

Cell: 8.799 8.799 3.014 Å, 90.00 90.00 90.00°
Positions (direct):
Tl 0.243 0.257 0.000
Tl 0.257 0.757 0.000
Tl 0.743 0.243 0.000
Tl 0.757 0.743 0.000
P 0.000 0.000 0.000
P 0.500 0.500 0.000
N 0.046 0.546 0.500
N 0.454 0.046 0.500
N 0.546 0.954 0.500
N 0.954 0.454 0.500

Values from the calculation:
- Calculated density: 6.66 g/cm³
- M_tot: 0.00 μB/atom

Which of them is least stable? Easy: <w>.